[1]
Compound: GdSc2Ag
Source: Alexandria
Functional: PBE
Structure: optimized geometry

Output
The calculation puts the total energy at -7.3265 eV per atom. As for the total magnetization: 9.30 μB/f.u.

Cell: 7.1961 7.1961 7.1961 Å, 90.00 90.00 90.00°
With the nearest neighbours (Å) after each atom.
Space group Fm-3m (No. 225)
Asymmetric unit:
Gd 0.0000 0.0000 0.0000 [4 per cell]  8 Sc 3.12
Sc 0.2500 0.2500 0.2500 [8 per cell]  4 Gd 3.12, 4 Ag 3.12
Ag 0.0000 0.0000 0.5000 [4 per cell]  8 Sc 3.12


[2]
Compound: Rb2MgIn10
Source: Alexandria
Functional: PBE
Structure: optimized geometry

Output
The calculation puts the total energy at -2.3804 eV per atom. As for the total magnetization: 0.00 μB/f.u.

Cell: 10.1061 12.9469 6.9997 Å, 90.00 90.00 90.00°
With the nearest neighbours (Å) after each atom.
Space group Pbam (No. 55)
Asymmetric unit:
Rb 0.2480 0.0569 0.0000 [4 per cell]  12 In 3.87-4.18
Mg 0.0000 0.0000 0.5000 [2 per cell]  4 In 2.86-3.05
In 0.0581 0.6210 0.5000 [4 per cell]  7 In 3.00-3.35
In 0.0937 0.8058 0.2193 [8 per cell]  4 In 3.07-3.22, 1 Mg 3.33
In 0.1587 0.2002 0.5000 [4 per cell]  5 In 3.04-3.22, 1 Mg 3.05
In 0.2320 0.4295 0.5000 [4 per cell]  1 Mg 2.86, 5 In 3.00-3.09


Per-record ΔE_f, eV per atom: 0.072; -0.002